# 1
The following is a DFT calculation (PBE) of a geometry-optimized Er3Tm structure.

Unit cell a=5.530 b=7.120 c=7.120 alpha=120.00 beta=90.00 gamma=90.00
Atoms (fractional coordinates):
Tm: 0.250 0.667 0.833
Tm: 0.750 0.833 0.667
Er: 0.750 0.834 0.167
Er: 0.250 0.167 0.333
Er: 0.750 0.333 0.666
Er: 0.250 0.666 0.333
Er: 0.250 0.167 0.834
Er: 0.750 0.333 0.167

Space-group type: Cmcm, No. 63
ΔH_f (0 K) in kJ/mol of formula units: 0
Calculated density in g cm⁻³: 9.2

---

# 2
The following is a DFT calculation (PBE) of a geometry-optimized Er2Tm structure.

Unit cell a=6.447 b=6.447 c=6.447 alpha=60.00 beta=60.00 gamma=60.00
Atoms (fractional coordinates):
Er: 0.625 0.625 0.625
Er: 0.625 0.625 0.125
Er: 0.625 0.125 0.625
Er: 0.125 0.625 0.625
Tm: 0.250 0.250 0.250
Tm: 0.000 0.000 0.000

Space-group type: Fd-3m, No. 227
ΔH_f (0 K) in kJ/mol of formula units: 76
Distance to the lowest polymorph of the same formula in kJ per mole of atoms: 22.9
Calculated density in g cm⁻³: 8.8

---

# 3
The following is a DFT calculation (PBE) of a geometry-optimized ErTm structure.

Unit cell a=5.524 b=7.109 c=7.109 alpha=120.00 beta=90.00 gamma=90.00
Atoms (fractional coordinates):
Er: 0.750 0.333 0.667
Er: 0.750 0.834 0.667
Er: 0.250 0.667 0.834
Er: 0.250 0.667 0.333
Tm: 0.750 0.834 0.166
Tm: 0.250 0.166 0.834
Tm: 0.750 0.333 0.166
Tm: 0.250 0.166 0.333

Space-group type: Ama2, No. 40
ΔH_f (0 K) in kJ/mol of formula units: 0
Distance to the lowest polymorph of the same formula in kJ per mole of atoms: 0.0
Calculated density in g cm⁻³: 9.2

---

# 4
The following is a DFT calculation (PBE) of a geometry-optimized Er2Tm structure.

Unit cell a=5.331 b=5.331 c=5.331 alpha=60.00 beta=60.00 gamma=60.00
Atoms (fractional coordinates):
Er: 0.750 0.750 0.750
Er: 0.250 0.250 0.250
Tm: 0.000 0.000 0.000

Space-group type: Fm-3m, No. 225
ΔH_f (0 K) in kJ/mol of formula units: 209
Distance to the lowest polymorph of the same formula in kJ per mole of atoms: 67.1
Calculated density in g cm⁻³: 7.8

---

# 5
The following is a DFT calculation (PBE) of a geometry-optimized ErTm2 structure.

Unit cell a=9.990 b=9.990 c=9.990 alpha=60.00 beta=60.00 gamma=60.00
Site moments in Bohr magnetons follow the coordinates.
Atoms (fractional coordinates):
Tm: 0.375 0.875 0.375  0.92
Tm: 0.875 0.375 0.375  1.04
Tm: 0.375 0.375 0.875  0.88
Tm: 0.375 0.375 0.375  0.92
Er: 0.500 0.500 0.500  1.21
Er: 0.250 0.250 0.250  1.21

Space-group type: Fd-3m, No. 227
ΔH_f (0 K) in kJ/mol of formula units: 748
Distance to the lowest polymorph of the same formula in kJ per mole of atoms: 223.4
Calculated density in g cm⁻³: 2.4

---

# 6
The following is a DFT calculation (PBE) of a geometry-optimized ErTm structure.

Unit cell a=3.553 b=3.553 c=5.506 alpha=90.00 beta=90.00 gamma=120.00
Atoms (fractional coordinates):
Er: 0.667 0.333 0.750
Tm: 0.333 0.667 0.250

Space-group type: P-6m2, No. 187
ΔH_f (0 K) in kJ/mol of formula units: 0
Distance to the lowest polymorph of the same formula in kJ per mole of atoms: 0.1
Calculated density in g cm⁻³: 9.3

---

# 7
The following is a DFT calculation (PBE) of a geometry-optimized ErTm2 structure.

Unit cell a=5.324 b=5.324 c=5.324 alpha=60.00 beta=60.00 gamma=60.00
Atoms (fractional coordinates):
Tm: 0.250 0.250 0.250
Tm: 0.750 0.750 0.750
Er: 0.000 0.000 0.000

Space-group type: Fm-3m, No. 225
ΔH_f (0 K) in kJ/mol of formula units: 211
Distance to the lowest polymorph of the same formula in kJ per mole of atoms: 44.4
Calculated density in g cm⁻³: 7.9

---

# 8
The following is a DFT calculation (PBE) of a geometry-optimized ErTm2 structure.

Unit cell a=6.446 b=6.446 c=6.446 alpha=60.00 beta=60.00 gamma=60.00
Atoms (fractional coordinates):
Er: 0.000 0.000 0.000
Er: 0.250 0.250 0.250
Tm: 0.625 0.625 0.125
Tm: 0.625 0.625 0.625
Tm: 0.125 0.625 0.625
Tm: 0.625 0.125 0.625

Space-group type: Fd-3m, No. 227
ΔH_f (0 K) in kJ/mol of formula units: 78
Distance to the lowest polymorph of the same formula in kJ per mole of atoms: 0.0
Calculated density in g cm⁻³: 8.9

---

# 9
The following is a DFT calculation (PBE) of a geometry-optimized ErTmU structure.

Unit cell a=5.224 b=5.224 c=5.224 alpha=60.00 beta=60.00 gamma=60.00
Atoms (fractional coordinates):
Er: 0.250 0.250 0.250
U: 0.750 0.750 0.750
Tm: 0.000 0.000 0.000

Space-group type: F-43m, No. 216
ΔH_f (0 K) in kJ/mol of formula units: 367
Distance to the lowest polymorph of the same formula in kJ per mole of atoms: 0.0
Calculated density in g cm⁻³: 9.5

---

# 10
The following is a DFT calculation (PBE) of a geometry-optimized YErTm2 structure.

Unit cell a=5.563 b=7.170 c=7.170 alpha=120.00 beta=90.00 gamma=90.00
Atoms (fractional coordinates):
Y: 0.250 0.333 0.166
Y: 0.750 0.166 0.333
Er: 0.250 0.333 0.668
Er: 0.750 0.668 0.333
Tm: 0.750 0.166 0.832
Tm: 0.250 0.832 0.166
Tm: 0.250 0.834 0.667
Tm: 0.750 0.667 0.834

Space-group type: Ama2, No. 40
ΔH_f (0 K) in kJ/mol of formula units: 1
Calculated density in g cm⁻³: 8.0

---

# 11
The following is a DFT calculation (PBE) of a geometry-optimized YErTm2 structure.

Unit cell a=5.565 b=7.172 c=7.172 alpha=59.98 beta=90.00 gamma=90.00
Atoms (fractional coordinates):
Er: 0.000 0.333 0.333
Er: 0.500 0.667 0.667
Y: 0.500 0.166 0.667
Y: 0.500 0.667 0.166
Tm: 0.000 0.833 0.833
Tm: 0.000 0.334 0.834
Tm: 0.500 0.167 0.167
Tm: 0.000 0.834 0.334

Space-group type: Amm2, No. 38
ΔH_f (0 K) in kJ/mol of formula units: 1
Calculated density in g cm⁻³: 8.0

---

# 12
The following is a DFT calculation (PBE) of a geometry-optimized YErTm2 structure.

Unit cell a=7.173 b=7.173 c=5.563 alpha=90.00 beta=90.00 gamma=120.00
Atoms (fractional coordinates):
Tm: 0.668 0.834 0.750
Tm: 0.834 0.668 0.250
Tm: 0.166 0.332 0.750
Tm: 0.332 0.166 0.250
Y: 0.667 0.333 0.750
Y: 0.333 0.667 0.250
Er: 0.166 0.834 0.750
Er: 0.834 0.166 0.250

Space-group type: Cmcm, No. 63
ΔH_f (0 K) in kJ/mol of formula units: 0
Calculated density in g cm⁻³: 8.0

---

# 13
The following is a DFT calculation (PBE) of a geometry-optimized YEr6Tm structure.

Unit cell a=7.164 b=7.164 c=5.570 alpha=90.00 beta=90.00 gamma=120.00
Atoms (fractional coordinates):
Er: 0.665 0.832 0.500
Er: 0.168 0.832 0.500
Er: 0.499 0.998 0.000
Er: 0.168 0.335 0.500
Er: 0.499 0.501 0.000
Er: 0.002 0.501 0.000
Tm: 0.000 0.000 0.000
Y: 0.667 0.333 0.500

Space-group type: P-6m2, No. 187
ΔH_f (0 K) in kJ/mol of formula units: 0
Calculated density in g cm⁻³: 8.5

---

# 14
The following is a DFT calculation (PBE) of a geometry-optimized YErTm6 structure.

Unit cell a=7.139 b=7.139 c=5.557 alpha=90.00 beta=90.00 gamma=120.00
Atoms (fractional coordinates):
Tm: 0.833 0.167 0.500
Tm: 0.999 0.499 0.000
Tm: 0.501 0.499 0.000
Tm: 0.334 0.167 0.500
Tm: 0.501 0.001 0.000
Tm: 0.833 0.666 0.500
Er: 0.000 0.000 0.000
Y: 0.333 0.667 0.500

Space-group type: P-6m2, No. 187
ΔH_f (0 K) in kJ/mol of formula units: 0
Calculated density in g cm⁻³: 8.6

---

# 15
The following is a DFT calculation (PBE) of a geometry-optimized ErTmZn structure.

Unit cell a=4.877 b=4.877 c=4.877 alpha=60.00 beta=60.00 gamma=60.00
Atoms (fractional coordinates):
Er: 0.250 0.250 0.250
Tm: 0.750 0.750 0.750
Zn: 0.000 0.000 0.000

Space-group type: F-43m, No. 216
ΔH_f (0 K) in kJ/mol of formula units: 3
Distance to the lowest polymorph of the same formula in kJ per mole of atoms: 24.5
Calculated density in g cm⁻³: 8.1

---

# 16
The following is a DFT calculation (PBE) of a geometry-optimized ErTmZn4 structure.

Unit cell a=3.431 b=4.440 c=7.673 alpha=90.00 beta=90.00 gamma=90.00
Atoms (fractional coordinates):
Zn: 0.501 0.000 0.334
Zn: 0.499 0.500 0.167
Zn: 0.501 0.500 0.833
Zn: 0.499 0.000 0.666
Tm: 0.000 0.500 0.500
Er: 0.000 0.000 0.000

Space-group type: Pmmm, No. 47
ΔH_f (0 K) in kJ/mol of formula units: -223
Calculated density in g cm⁻³: 8.5

---

# 17
The following is a DFT calculation (PBE) of a geometry-optimized ErTmZn structure.

Unit cell a=6.677 b=4.946 c=8.940 alpha=90.00 beta=90.00 gamma=90.00
Atoms (fractional coordinates):
Tm: 0.483 0.250 0.194
Tm: 0.983 0.250 0.306
Tm: 0.017 0.750 0.694
Tm: 0.517 0.750 0.806
Er: 0.833 0.250 0.925
Er: 0.167 0.750 0.075
Er: 0.333 0.250 0.575
Er: 0.667 0.750 0.425
Zn: 0.773 0.250 0.601
Zn: 0.727 0.750 0.101
Zn: 0.227 0.750 0.399
Zn: 0.273 0.250 0.899

Space-group type: Pnma, No. 62
ΔH_f (0 K) in kJ/mol of formula units: -70
Distance to the lowest polymorph of the same formula in kJ per mole of atoms: 0.0
Calculated density in g cm⁻³: 9.0

---

# 18
The following is a DFT calculation (PBE) of a geometry-optimized ErTmZr structure.

Unit cell a=5.173 b=5.173 c=5.173 alpha=60.00 beta=60.00 gamma=60.00
Site moments in Bohr magnetons follow the coordinates.
Atoms (fractional coordinates):
Er: 0.250 0.250 0.250  0.17
Zr: 0.000 0.000 0.000  0.57
Tm: 0.750 0.750 0.750  0.17

Space-group type: F-43m, No. 216
ΔH_f (0 K) in kJ/mol of formula units: 230
Distance to the lowest polymorph of the same formula in kJ per mole of atoms: 0.0
Calculated density in g cm⁻³: 7.2

---

# 19
The following is a DFT calculation (PBE) of a geometry-optimized ErU structure.

Unit cell a=4.404 b=4.404 c=4.404 alpha=60.00 beta=60.00 gamma=60.00
Site moments in Bohr magnetons follow the coordinates.
Atoms (fractional coordinates):
Er: 0.000 0.000 0.000  0.85
U: 0.500 0.500 0.500  3.04

Space-group type: Fm-3m, No. 225
ΔH_f (0 K) in kJ/mol of formula units: 288
Distance to the lowest polymorph of the same formula in kJ per mole of atoms: 101.4
Calculated density in g cm⁻³: 11.1

---

# 20
The following is a DFT calculation (PBE) of a geometry-optimized ErU structure.

Unit cell a=3.202 b=3.202 c=5.712 alpha=90.00 beta=90.00 gamma=120.00
Atoms (fractional coordinates):
Er: 0.667 0.333 0.750
U: 0.333 0.667 0.250

Space-group type: P-6m2, No. 187
ΔH_f (0 K) in kJ/mol of formula units: 85
Distance to the lowest polymorph of the same formula in kJ per mole of atoms: 0.0
Calculated density in g cm⁻³: 13.3